Entry 1:
# GGA-PBEsol LaAlRu3, relaxed
# formation enthalpy at 0 K	1.922	eV/atom
# calculated density	7.44	g/cm3
# DOS(E_F)	1.863	states/eV/atom
data_LaAlRu3
_space_group_name_H-M_alt 'P 1'
_space_group_IT_number 1
_space_group_name_Hall 'P 1'
_cell_length_a 4.713
_cell_length_b 4.713
_cell_length_c 4.713
_cell_angle_alpha 90.00
_cell_angle_beta 90.00
_cell_angle_gamma 90.00
loop_
_atom_site_label
_atom_site_fract_x
_atom_site_fract_y
_atom_site_fract_z
_atom_site_occupancy
Ru1 0.500 0.000 0.000 1
Ru2 0.000 0.000 0.500 1
Ru3 0.000 0.500 0.000 1
Al1 0.500 0.500 0.500 1
La1 0.000 0.000 0.000 1

Entry 2:
# GGA-PBEsol LaAl3Ru, relaxed
# formation enthalpy at 0 K	-0.478	eV/atom
# calculated density	5.20	g/cm3
# DOS(E_F)	0.224	states/eV/atom
data_LaAl3Ru
_space_group_name_H-M_alt 'P 1'
_space_group_IT_number 1
_space_group_name_Hall 'P 1'
_cell_length_a 4.681
_cell_length_b 4.681
_cell_length_c 4.681
_cell_angle_alpha 90.00
_cell_angle_beta 90.00
_cell_angle_gamma 90.00
loop_
_atom_site_label
_atom_site_fract_x
_atom_site_fract_y
_atom_site_fract_z
_atom_site_occupancy
Ru1 0.000 0.000 0.000 1
La1 0.500 0.500 0.500 1
Al1 0.000 0.500 0.000 1
Al2 0.500 0.000 0.000 1
Al3 0.000 0.000 0.500 1

Entry 3:
# GGA-PBEsol LaAlRu4, relaxed
# formation enthalpy at 0 K	0.114	eV/atom
# calculated density	9.41	g/cm3
# DOS(E_F)	1.458	states/eV/atom
data_LaAlRu4
_space_group_name_H-M_alt 'P 1'
_space_group_IT_number 1
_space_group_name_Hall 'P 1'
_cell_length_a 5.221
_cell_length_b 5.221
_cell_length_c 5.221
_cell_angle_alpha 60.00
_cell_angle_beta 60.00
_cell_angle_gamma 60.00
loop_
_atom_site_label
_atom_site_fract_x
_atom_site_fract_y
_atom_site_fract_z
_atom_site_occupancy
Ru1 0.871 0.376 0.376 1
Ru2 0.376 0.376 0.871 1
Ru3 0.376 0.871 0.376 1
Ru4 0.376 0.376 0.376 1
Al1 0.750 0.750 0.750 1
La1 0.000 0.000 0.000 1

Entry 4:
# GGA-PBEsol LaAl10Ru2, relaxed
# formation enthalpy at 0 K	-0.508	eV/atom
# calculated density	4.76	g/cm3
# DOS(E_F)	0.303	states/eV/atom
data_LaAl10Ru2
_space_group_name_H-M_alt 'P 1'
_space_group_IT_number 1
_space_group_name_Hall 'P 1'
_cell_length_a 6.854
_cell_length_b 6.854
_cell_length_c 9.145
_cell_angle_alpha 90.00
_cell_angle_beta 90.00
_cell_angle_gamma 96.92
loop_
_atom_site_label
_atom_site_fract_x
_atom_site_fract_y
_atom_site_fract_z
_atom_site_occupancy
La1 0.877 0.123 0.750 1
La2 0.123 0.877 0.250 1
Ru1 0.000 0.500 0.500 1
Ru2 0.500 0.000 0.500 1
Ru3 0.500 0.000 0.000 1
Ru4 0.000 0.500 0.000 1
Al1 0.163 0.837 0.602 1
Al2 0.138 0.410 0.250 1
Al3 0.378 0.622 0.448 1
Al4 0.772 0.772 0.500 1
Al5 0.590 0.862 0.250 1
Al6 0.779 0.519 0.250 1
Al7 0.622 0.378 0.948 1
Al8 0.519 0.779 0.750 1
Al9 0.410 0.138 0.750 1
Al10 0.622 0.378 0.552 1
Al11 0.837 0.163 0.102 1
Al12 0.221 0.481 0.750 1
Al13 0.228 0.228 0.000 1
Al14 0.772 0.772 0.000 1
Al15 0.163 0.837 0.898 1
Al16 0.378 0.622 0.052 1
Al17 0.228 0.228 0.500 1
Al18 0.481 0.221 0.250 1
Al19 0.862 0.590 0.750 1
Al20 0.837 0.163 0.398 1

Entry 5:
# GGA-PBEsol LaAl2Ru, relaxed
# formation enthalpy at 0 K	-0.159	eV/atom
# calculated density	6.60	g/cm3
# DOS(E_F)	0.662	states/eV/atom
data_LaAl2Ru
_space_group_name_H-M_alt 'P 1'
_space_group_IT_number 1
_space_group_name_Hall 'P 1'
_cell_length_a 4.577
_cell_length_b 4.788
_cell_length_c 4.577
_cell_angle_alpha 61.45
_cell_angle_beta 90.00
_cell_angle_gamma 118.55
loop_
_atom_site_label
_atom_site_fract_x
_atom_site_fract_y
_atom_site_fract_z
_atom_site_occupancy
Ru1 0.000 0.000 0.000 1
Al1 0.750 0.500 0.750 1
Al2 0.250 0.500 0.250 1
La1 0.500 0.000 0.500 1

Entry 6:
# GGA-PBEsol LaAl3S, relaxed
# formation energy without anion corrections	2	kJ per mole of atoms
# calculated density	3.73	g/cm3
# energy above the most stable polymorph in this dataset	0.000	eV per atom
# DOS(E_F)	0.926	states/eV/atom
data_LaAl3S
_space_group_name_H-M_alt 'P 1'
_space_group_IT_number 1
_space_group_name_Hall 'P 1'
_cell_length_a 4.824
_cell_length_b 4.824
_cell_length_c 4.824
_cell_angle_alpha 90.00
_cell_angle_beta 90.00
_cell_angle_gamma 90.00
loop_
_atom_site_label
_atom_site_fract_x
_atom_site_fract_y
_atom_site_fract_z
_atom_site_occupancy
La1 0.500 0.500 0.500 1
Al1 0.000 0.000 0.500 1
Al2 0.500 0.000 0.000 1
Al3 0.000 0.500 0.000 1
S1 0.000 0.000 0.000 1

Entry 7:
# GGA-PBEsol LaAl3S, relaxed
# formation energy without anion corrections	146	kJ per mole of atoms
# calculated density	2.32	g/cm3
# energy above the most stable polymorph in this dataset	1.500	eV per atom
# DOS(E_F)	1.269	states/eV/atom
data_LaAl3S
_space_group_name_H-M_alt 'P 1'
_space_group_IT_number 1
_space_group_name_Hall 'P 1'
_cell_length_a 5.649
_cell_length_b 5.649
_cell_length_c 5.649
_cell_angle_alpha 90.00
_cell_angle_beta 90.00
_cell_angle_gamma 90.00
loop_
_atom_site_label
_atom_site_fract_x
_atom_site_fract_y
_atom_site_fract_z
_atom_site_occupancy
S1 0.500 0.500 0.500 1
Al1 0.000 0.000 0.500 1
Al2 0.000 0.500 0.000 1
Al3 0.500 0.000 0.000 1
La1 0.000 0.000 0.000 1

Entry 8:
# GGA-PBEsol La2Al2S, relaxed
# formation energy without anion corrections	-56	kJ per mole of atoms
# calculated density	4.25	g/cm3
# DOS(E_F)	1.091	states/eV/atom
data_La2Al2S
_space_group_name_H-M_alt 'P 1'
_space_group_IT_number 1
_space_group_name_Hall 'P 1'
_cell_length_a 4.939
_cell_length_b 7.586
_cell_length_c 7.586
_cell_angle_alpha 90.00
_cell_angle_beta 90.00
_cell_angle_gamma 90.00
loop_
_atom_site_label
_atom_site_fract_x
_atom_site_fract_y
_atom_site_fract_z
_atom_site_occupancy
Al1 0.500 0.625 0.875 1
Al2 0.500 0.875 0.375 1
Al3 0.500 0.375 0.125 1
Al4 0.500 0.125 0.625 1
La1 0.000 0.172 0.328 1
La2 0.000 0.828 0.672 1
La3 0.000 0.328 0.828 1
La4 0.000 0.672 0.172 1
S1 0.000 0.500 0.500 1
S2 0.000 0.000 0.000 1

Entry 9:
# GGA-PBEsol LaAlS3, relaxed
# formation energy without anion corrections	-17	kJ per mole of atoms
# calculated density	2.73	g/cm3
# DOS(E_F)	1.489	states/eV/atom
data_LaAlS3
_space_group_name_H-M_alt 'P 1'
_space_group_IT_number 1
_space_group_name_Hall 'P 1'
_cell_length_a 5.425
_cell_length_b 5.425
_cell_length_c 5.425
_cell_angle_alpha 90.00
_cell_angle_beta 90.00
_cell_angle_gamma 90.00
loop_
_atom_site_label
_atom_site_fract_x
_atom_site_fract_y
_atom_site_fract_z
_atom_site_occupancy
S1 0.000 0.500 0.000 1
S2 0.500 0.000 0.000 1
S3 0.000 0.000 0.500 1
La1 0.000 0.000 0.000 1
Al1 0.500 0.500 0.500 1

Entry 10:
# GGA-PBEsol La2AlS, relaxed
# formation energy without anion corrections	-47	kJ per mole of atoms
# calculated density	3.79	g/cm3
# DOS(E_F)	1.017	states/eV/atom
data_La2AlS
_space_group_name_H-M_alt 'P 1'
_space_group_IT_number 1
_space_group_name_Hall 'P 1'
_cell_length_a 6.510
_cell_length_b 6.510
_cell_length_c 8.352
_cell_angle_alpha 112.94
_cell_angle_beta 112.94
_cell_angle_gamma 90.00
loop_
_atom_site_label
_atom_site_fract_x
_atom_site_fract_y
_atom_site_fract_z
_atom_site_occupancy
S1 0.250 0.750 0.500 1
S2 0.000 0.000 0.000 1
La1 0.125 0.088 0.750 1
La2 0.912 0.375 0.250 1
La3 0.338 0.875 0.250 1
La4 0.625 0.662 0.750 1
Al1 0.500 0.500 0.000 1
Al2 0.750 0.250 0.500 1

Entry 11:
# GGA-PBEsol La9Al5S21, relaxed
# formation energy without anion corrections	-180	kJ per mole of atoms
# calculated density	4.35	g/cm3
# DOS(E_F)	0.000	states/eV/atom
data_La9Al5S21
_space_group_name_H-M_alt 'P 1'
_space_group_IT_number 1
_space_group_name_Hall 'P 1'
_cell_length_a 11.702
_cell_length_b 11.702
_cell_length_c 11.702
_cell_angle_alpha 96.30
_cell_angle_beta 96.30
_cell_angle_gamma 96.30
loop_
_atom_site_label
_atom_site_fract_x
_atom_site_fract_y
_atom_site_fract_z
_atom_site_occupancy
S1 0.396 0.307 0.544 1
S2 0.939 0.026 0.788 1
S3 0.544 0.396 0.307 1
S4 0.307 0.544 0.396 1
S5 0.967 0.073 0.482 1
S6 0.876 0.783 0.362 1
S7 0.449 0.018 0.545 1
S8 0.993 0.227 0.083 1
S9 0.747 0.662 0.883 1
S10 0.662 0.883 0.747 1
S11 0.176 0.843 0.514 1
S12 0.788 0.939 0.026 1
S13 0.227 0.083 0.993 1
S14 0.344 0.677 0.011 1
S15 0.698 0.212 0.108 1
S16 0.514 0.176 0.843 1
S17 0.302 0.393 0.814 1
S18 0.843 0.514 0.176 1
S19 0.362 0.142 0.278 1
S20 0.633 0.728 0.160 1
S21 0.073 0.482 0.967 1
S22 0.618 0.714 0.479 1
S23 0.362 0.876 0.783 1
S24 0.728 0.160 0.633 1
S25 0.783 0.362 0.876 1
S26 0.026 0.788 0.939 1
S27 0.142 0.278 0.362 1
S28 0.011 0.344 0.677 1
S29 0.393 0.814 0.302 1
S30 0.545 0.449 0.018 1
S31 0.479 0.618 0.714 1
S32 0.018 0.545 0.449 1
S33 0.160 0.633 0.728 1
S34 0.814 0.302 0.393 1
S35 0.278 0.362 0.142 1
S36 0.677 0.011 0.344 1
S37 0.883 0.747 0.662 1
S38 0.714 0.479 0.618 1
S39 0.108 0.698 0.212 1
S40 0.212 0.108 0.698 1
S41 0.482 0.967 0.073 1
S42 0.083 0.993 0.227 1
La1 0.248 0.878 0.109 1
La2 0.773 0.551 0.404 1
La3 0.928 0.550 0.782 1
La4 0.441 0.582 0.209 1
La5 0.882 0.747 0.118 1
La6 0.209 0.441 0.582 1
La7 0.404 0.773 0.551 1
La8 0.747 0.118 0.882 1
La9 0.109 0.248 0.878 1
La10 0.582 0.209 0.441 1
La11 0.550 0.782 0.928 1
La12 0.455 0.220 0.076 1
La13 0.782 0.928 0.550 1
La14 0.220 0.076 0.455 1
La15 0.076 0.455 0.220 1
La16 0.878 0.109 0.248 1
La17 0.118 0.882 0.747 1
La18 0.551 0.404 0.773 1
Al1 0.885 0.227 0.551 1
Al2 0.165 0.165 0.165 1
Al3 0.390 0.050 0.721 1
Al4 0.227 0.551 0.885 1
Al5 0.721 0.390 0.050 1
Al6 0.551 0.885 0.227 1
Al7 0.668 0.668 0.668 1
Al8 0.349 0.349 0.349 1
Al9 0.050 0.721 0.390 1
Al10 0.852 0.852 0.852 1

Entry 12:
# GGA-PBEsol SrLaAl2S, relaxed
# formation energy without anion corrections	-13	kJ per mole of atoms
# calculated density	3.88	g/cm3
# DOS(E_F)	0.783	states/eV/atom
data_SrLaAl2S
_space_group_name_H-M_alt 'P 1'
_space_group_IT_number 1
_space_group_name_Hall 'P 1'
_cell_length_a 5.025
_cell_length_b 5.025
_cell_length_c 5.300
_cell_angle_alpha 90.00
_cell_angle_beta 90.00
_cell_angle_gamma 90.00
loop_
_atom_site_label
_atom_site_fract_x
_atom_site_fract_y
_atom_site_fract_z
_atom_site_occupancy
S1 0.000 0.000 0.000 1
La1 0.500 0.500 0.500 1
Sr1 0.000 0.000 0.500 1
Al1 0.000 0.500 0.000 1
Al2 0.500 0.000 0.000 1

calculated density of number 1 (LaAlRu3)? 7.44 g/cm3